A geometry-optimized MnCdCuF6 structure. Source: Alexandria, functional PBE+U.

a b c (Å): 4.9414 4.9414 10.0711
angles (deg): 90.00 90.00 90.00
With the nearest neighbours (Å) after each atom.
Fractional coordinates of all 18 atoms:
Mn  0.0000  0.0000  0.0000  6 F 2.08-2.14
Mn  0.5000  0.5000  0.5000  6 F 2.08-2.14
Cd  0.0000  0.0000  0.3318  6 F 2.21-2.30
Cd  0.5000  0.5000  0.8318  6 F 2.21-2.30
Cu  0.0000  0.0000  0.6641  6 F 2.03-2.12
Cu  0.5000  0.5000  0.1641  6 F 2.03-2.12
F  0.1832  0.1832  0.8314  1 Cu 2.12, 1 Mn 2.13, 1 Cd 2.21
F  0.2023  0.2023  0.5102  1 Mn 2.08, 1 Cu 2.10, 1 Cd 2.29
F  0.2093  0.2093  0.1552  1 Cu 2.03, 1 Mn 2.14
F  0.2907  0.7093  0.6552  1 Cu 2.03, 1 Mn 2.14
F  0.2977  0.7023  0.0102  1 Mn 2.08, 1 Cu 2.10, 1 Cd 2.29
F  0.3168  0.6832  0.3314  1 Cu 2.12, 1 Mn 2.13, 1 Cd 2.21
F  0.6832  0.3168  0.3314  1 Cu 2.12, 1 Mn 2.13, 1 Cd 2.21
F  0.7023  0.2977  0.0102  1 Mn 2.08, 1 Cu 2.10, 1 Cd 2.29
F  0.7093  0.2907  0.6552  1 Cu 2.03, 1 Mn 2.14
F  0.7907  0.7907  0.1552  1 Cu 2.03, 1 Mn 2.14
F  0.7977  0.7977  0.5102  1 Mn 2.08, 1 Cu 2.10, 1 Cd 2.29
F  0.8168  0.8168  0.8314  1 Cu 2.12, 1 Mn 2.13, 1 Cd 2.21

- crystal system = tetragonal
- size of the total moment (μB per formula unit) = 4.00
- uncorrected energy (eV/atom) = -4.750